Here is Tb3Pm6Sm2Sc after structural relaxation from Alexandria. Energies are from GGA-PBE.

Unit cell a=6.232 b=6.232 c=11.866 alpha=95.02 beta=95.02 gamma=119.99
Positions (direct):
Tb 0.166 0.834 0.500
Tb 0.834 0.166 0.500
Tb 0.500 0.500 0.500
Pm 0.917 0.588 0.751
Pm 0.752 0.752 0.249
Pm 0.083 0.412 0.249
Pm 0.588 0.917 0.751
Pm 0.248 0.248 0.751
Pm 0.412 0.083 0.249
Sm 0.333 0.667 0.000
Sm 0.667 0.333 0.000
Sc 0.000 0.000 0.000

Output
Energy relative to the elements in eV per atom: 0.024

***

Here is CaMgBr after structural relaxation from Alexandria. Energies are from GGA-PBE.

Unit cell a=5.180 b=5.180 c=5.180 alpha=60.00 beta=60.00 gamma=60.00
Positions (direct):
Br 0.750 0.750 0.750
Ca 0.000 0.000 0.000
Mg 0.500 0.500 0.500

Output
Uncorrected formation energy in eV/atom: -0.37
Relative energy among the computed polymorphs in meV per atom: 379

***

Here is InAs2PtBr after structural relaxation from Alexandria. Energies are from GGA-PBE.

Unit cell a=4.874 b=4.874 c=5.691 alpha=90.00 beta=90.00 gamma=90.00
Positions (direct):
As 0.000 0.500 0.000
As 0.500 0.000 0.000
Br 0.000 0.000 0.500
Pt 0.000 0.000 0.000
In 0.500 0.500 0.500

Output
Uncorrected formation energy in eV/atom: 0.27
Relative energy among the computed polymorphs in meV per atom: 0

***

Here is YCrS2Cl after structural relaxation from Alexandria. Energies are from GGA-PBE.

Unit cell a=5.265 b=5.265 c=5.135 alpha=90.00 beta=90.00 gamma=90.00
Positions (direct):
Y 0.000 0.000 0.000
Cr 0.500 0.500 0.500
S 0.000 0.500 0.000
S 0.500 0.000 0.000
Cl 0.000 0.000 0.500

Output
Uncorrected formation energy in eV/atom: -0.56
Relative energy among the computed polymorphs in meV per atom: 359

***

Number 1: Fermi-level density of states 15.47 states/eV per cell. Number 2: Fermi-level density of states 1.81 states/eV per cell. Number 3: Fermi-level density of states 4.33 states/eV per cell. Number 4: Fermi-level density of states 4.27 states/eV per cell.